VASP calculation (GGA-PBE) on crystalline CeHg2Au at its relaxed geometry. Values from VASP.

Cell and atoms, written as Quantum ESPRESSO input:
```
&SYSTEM
  ibrav = 0, nat = 4, ntyp = 3
/
ATOMIC_SPECIES
Au 196.97 Au.upf
Hg 200.59 Hg.upf
Ce 140.12 Ce.upf
ATOMIC_POSITIONS crystal
Au 0.5000 0.5000 0.5000
Hg 0.0000 0.5000 0.0000
Hg 0.0000 0.0000 0.5000
Ce 0.5000 0.0000 0.0000
CELL_PARAMETERS angstrom
5.1026 0.0000 0.0000
0.0000 4.4361 0.0000
0.0000 0.0000 4.4361
```

Computed properties:
SG: P4/mmm, No. 123
ΔH_f (0 K): -0.31 eV/atom

***

VASP calculation (GGA-PBE) on crystalline BaPdF at its relaxed geometry. Values from VASP.

Cell and atoms, written as Quantum ESPRESSO input:
```
&SYSTEM
  ibrav = 0, nat = 6, ntyp = 3
/
ATOMIC_SPECIES
Ba 137.33 Ba.upf
F 19.00 F.upf
Pd 106.42 Pd.upf
ATOMIC_POSITIONS crystal
Ba 0.5931 0.5931 0.2206
Ba 0.4069 0.4069 0.7794
F 0.7014 0.7014 0.8959
F 0.2986 0.2986 0.1041
Pd 0.8349 0.8349 0.4952
Pd 0.1651 0.1651 0.5048
CELL_PARAMETERS angstrom
4.4632 0.0000 0.0000
2.2316 3.8653 0.0000
2.2316 1.2884 8.4199
```

Computed properties:
uncorrected formation energy: -2095.2 meV/atom
SG: R-3m, No. 166

***

VASP calculation (GGA-PBE) on crystalline Rb2InSnBr6 at its relaxed geometry. Values from VASP.

Cell and atoms, written as Quantum ESPRESSO input:
```
&SYSTEM
  ibrav = 0, nat = 10, ntyp = 4
/
ATOMIC_SPECIES
Rb 85.47 Rb.upf
Br 79.90 Br.upf
In 114.82 In.upf
Sn 118.71 Sn.upf
ATOMIC_POSITIONS crystal
Rb 0.7500 0.2500 0.5000
Rb 0.2500 0.7500 0.5000
Br 0.7489 0.7489 0.0000
Br 0.2511 0.2511 0.0000
Br 0.2511 0.7489 0.0000
Br 0.7487 0.7487 0.5025
Br 0.2513 0.2513 0.4975
Br 0.7489 0.2511 0.0000
In 0.5000 0.5000 0.0000
Sn 0.0000 0.0000 0.0000
CELL_PARAMETERS angstrom
8.1977 0.0000 0.0000
0.0000 8.1977 0.0000
4.0988 4.0988 5.7786
```

Computed properties:
uncorrected formation energy: -1145.2 meV/atom
SG: I4/mmm, No. 139

***

VASP calculation (GGA-PBE) on crystalline ZnCuAu4 at its relaxed geometry. Values from VASP.

Cell and atoms, written as Quantum ESPRESSO input:
```
&SYSTEM
  ibrav = 0, nat = 12, ntyp = 3
/
ATOMIC_SPECIES
Zn 65.41 Zn.upf
Au 196.97 Au.upf
Cu 63.55 Cu.upf
ATOMIC_POSITIONS crystal
Zn 0.4299 0.3230 0.8599
Zn 0.5701 0.8230 0.1401
Au 0.2970 0.0708 0.5940
Au 0.7028 0.0732 0.4057
Au 0.2972 0.5732 0.5943
Au 0.5659 0.3230 0.1318
Au 0.8563 0.3217 0.7126
Au 0.4341 0.8230 0.8682
Au 0.7030 0.5708 0.4060
Au 0.1437 0.8217 0.2874
Cu 0.8393 0.8218 0.6786
Cu 0.1607 0.3218 0.3214
CELL_PARAMETERS angstrom
4.4316 0.0000 -1.1589
0.0000 5.4973 0.0000
0.1253 0.0000 9.5316
```

Computed properties:
SG: Cmc2_1, No. 36
energy above the most stable polymorph in this dataset: 0.031 eV/atom
ΔH_f (0 K): 0.05 eV/atom